P | Compound: BaCa2Mn
Source: Alexandria via LeMat-Bulk
Functional: meta-GGA SCAN
Structure: PBEsol geometry

a b c (Å): 5.720 5.720 5.720
angles (deg): 60.00 60.00 60.00
Last column: magnetic moment on the atom in μB.
Atoms (fractional coordinates):
Ca 0.250 0.250 0.250  -0.03
Ca 0.750 0.750 0.750  -0.03
Ba 0.500 0.500 0.500  -0.08
Mn 0.000 0.000 0.000  4.51

Summary:
M_tot: 4.58 Bohr magnetons per cell
ρ: 3.42 g cm⁻³
Space-group type: No. 225


Q | Compound: BaCa2Mn
Source: Alexandria via LeMat-Bulk
Functional: meta-GGA SCAN
Structure: PBEsol geometry

a b c (Å): 5.010 5.010 5.667
angles (deg): 90.00 90.00 90.00
Last column: magnetic moment on the atom in μB.
Atoms (fractional coordinates):
Mn 0.500 0.500 0.500  4.50
Ca 0.000 0.500 0.000  -0.01
Ca 0.500 0.000 0.000  -0.01
Ba 0.000 0.000 0.500  -0.02

Summary:
M_tot: 4.76 Bohr magnetons per cell
ρ: 3.18 g cm⁻³
Space-group type: No. 123


R | Compound: BaCa2Mn
Source: Alexandria via LeMat-Bulk
Functional: meta-GGA SCAN
Structure: PBEsol geometry

a b c (Å): 3.792 3.792 9.778
angles (deg): 90.00 90.00 90.00
Last column: magnetic moment on the atom in μB.
Atoms (fractional coordinates):
Ca 0.000 0.000 0.177  -0.06
Ca 0.000 0.000 0.823  -0.06
Mn 0.500 0.500 0.000  4.18
Ba 0.500 0.500 0.500  0.01

Summary:
M_tot: 3.98 Bohr magnetons per cell
ρ: 3.22 g cm⁻³
Space-group type: No. 123


It is Q that is the least stable of them.


P | Compound: BaCaMn
Source: Alexandria via LeMat-Bulk
Functional: meta-GGA SCAN
Structure: PBEsol geometry

a b c (Å): 3.769 5.557 5.557
angles (deg): 120.00 90.00 90.00
Last column: magnetic moment on the atom in μB.
Atoms (fractional coordinates):
Ba 0.009 0.000 0.000  -0.14
Ca 0.566 0.333 0.667  -0.07
Mn 0.425 0.667 0.333  4.39

Summary:
M_tot: 4.08 Bohr magnetons per cell
ρ: 3.83 g cm⁻³
Space-group type: No. 156


Q | Compound: BaCaMn
Source: Alexandria via LeMat-Bulk
Functional: meta-GGA SCAN
Structure: PBEsol geometry

a b c (Å): 5.420 5.420 5.420
angles (deg): 60.00 60.00 60.00
Last column: magnetic moment on the atom in μB.
Atoms (fractional coordinates):
Mn 0.250 0.250 0.250  4.21
Ba 0.000 0.000 0.000  -0.06
Ca 0.500 0.500 0.500  -0.02

Summary:
M_tot: 4.27 Bohr magnetons per cell
ρ: 3.43 g cm⁻³
Space-group type: No. 216


It is Q that is the least stable of them.